Record 1
VASP calculation (GGA-PBE) on a relaxed structure of Li2PmSmHg4.

Unit cell a=8.8786 b=8.8786 c=8.8786 alpha=33.36 beta=33.36 gamma=33.36
Atoms (fractional coordinates):
Li1 0.2503 0.2503 0.2503
Li2 0.7497 0.7497 0.7497
Pm1 0.5000 0.5000 0.5000
Sm1 0.0000 0.0000 0.0000
Hg1 0.1240 0.1240 0.1240
Hg2 0.3753 0.3753 0.3753
Hg3 0.6247 0.6247 0.6247
Hg4 0.8760 0.8760 0.8760

Properties
formation enthalpy at 0 K = -0.453 eV/atom
calculated total energy = -0.083 Ha/atom
calculated density = 9.80 g/cm³
size of the total moment = 0.00 μB/f.u.



Record 2
VASP calculation (GGA-PBE) on a relaxed structure of LiPm2SmHg4.

Unit cell a=9.2732 b=9.2732 c=9.2732 alpha=32.76 beta=32.76 gamma=32.76
Atoms (fractional coordinates):
Li1 0.0000 0.0000 0.0000
Pm1 0.2555 0.2555 0.2555
Pm2 0.7445 0.7445 0.7445
Sm1 0.5000 0.5000 0.5000
Hg1 0.1225 0.1225 0.1225
Hg2 0.3739 0.3739 0.3739
Hg3 0.6261 0.6261 0.6261
Hg4 0.8775 0.8775 0.8775

Properties
formation enthalpy at 0 K = -0.449 eV/atom
calculated total energy = -0.096 Ha/atom
calculated density = 9.99 g/cm³
size of the total moment = 0.00 μB/f.u.



Record 3
VASP calculation (GGA-PBE) on a relaxed structure of LiPmSmHg.

Unit cell a=5.3402 b=5.3402 c=5.3402 alpha=60.00 beta=60.00 gamma=60.00
Atoms (fractional coordinates):
Li1 0.0000 0.0000 0.0000
Pm1 0.7500 0.7500 0.7500
Sm1 0.2500 0.2500 0.2500
Hg1 0.5000 0.5000 0.5000

Properties
formation enthalpy at 0 K = -0.207 eV/atom
calculated total energy = -0.115 Ha/atom
calculated density = 7.75 g/cm³
size of the total moment = 0.51 μB/f.u.



Record 4
VASP calculation (GGA-PBE) on a relaxed structure of SrLi2PmHg4.

Unit cell a=9.4271 b=9.4271 c=9.4271 alpha=31.43 beta=31.43 gamma=31.43
Atoms (fractional coordinates):
Sr1 0.0000 0.0000 0.0000
Li1 0.2438 0.2438 0.2438
Li2 0.7562 0.7562 0.7562
Pm1 0.5000 0.5000 0.5000
Hg1 0.1244 0.1244 0.1244
Hg2 0.3854 0.3854 0.3854
Hg3 0.6146 0.6146 0.6146
Hg4 0.8756 0.8756 0.8756

Properties
formation enthalpy at 0 K = -0.420 eV/atom
calculated total energy = -0.068 Ha/atom
calculated density = 8.61 g/cm³
size of the total moment = 0.00 μB/f.u.



Record 5
VASP calculation (GGA-PBE) on a relaxed structure of SrLiPmHg.

Unit cell a=5.5090 b=5.5090 c=5.5090 alpha=60.00 beta=60.00 gamma=60.00
Atoms (fractional coordinates):
Sr1 0.0000 0.0000 0.0000
Li1 0.2500 0.2500 0.2500
Pm1 0.5000 0.5000 0.5000
Hg1 0.7500 0.7500 0.7500

Properties
formation enthalpy at 0 K = -0.195 eV/atom
calculated total energy = -0.087 Ha/atom
calculated density = 6.18 g/cm³
size of the total moment = 0.00 μB/f.u.



Record 6
VASP calculation (GGA-PBE) on a relaxed structure of Li2TbPmHg4.

Unit cell a=8.8190 b=8.8190 c=8.8190 alpha=33.40 beta=33.40 gamma=33.40
Atoms (fractional coordinates):
Li1 0.2488 0.2488 0.2488
Li2 0.7512 0.7512 0.7512
Tb1 0.5000 0.5000 0.5000
Pm1 0.0000 0.0000 0.0000
Hg1 0.1262 0.1262 0.1262
Hg2 0.3772 0.3772 0.3772
Hg3 0.6228 0.6228 0.6228
Hg4 0.8738 0.8738 0.8738

Properties
formation enthalpy at 0 K = -0.449 eV/atom
calculated total energy = -0.083 Ha/atom
calculated density = 10.05 g/cm³
size of the total moment = 0.00 μB/f.u.